CdCo3Cl after structural relaxation, computed with GGA-PBE.

The formation energy without anion corrections comes out at 1.609 eV/atom. For the offset from the most stable computed form, the calculation gives 953 meV/atom. Its calculated total energy is -16.03 eV for the cell shown. The calculation puts the spin magnetization at 5.7 μB/f.u.

The space group is Pm-3m (No. 221) and the conventional cell measures 4.850, 4.850 and 4.850 Å, with angles of 90.00, 90.00 and 90.00 degrees. The distinct sites, in fractional coordinates, are Cd at (0.000, 0.000, 0.000), Co at (0.000, 0.000, 0.500) and Cl at (0.500, 0.500, 0.500).